1.
Density functional theory data (PBE) for a geometry-optimized ScTl2Ru structure.

Unit cell a=7.9521 b=7.9521 c=6.3196 alpha=51.01 beta=51.01 gamma=90.00
Last column: nearest neighbours and their distance in Å.
Atoms (fractional coordinates):
Sc  0.5000  0.5000  0.0000  2 Ru 2.88, 4 Tl 3.08
Sc  0.2500  0.7500  0.5000  2 Ru 2.88, 4 Tl 3.08
Ru  0.0000  0.0000  0.0000  4 Tl 2.73, 2 Sc 2.88
Ru  0.7500  0.2500  0.5000  4 Tl 2.73, 2 Sc 2.88
Tl  0.3750  0.3427  0.7500  2 Ru 2.73, 2 Tl 2.93
Tl  0.0927  0.6250  0.2500  2 Ru 2.73, 2 Tl 2.93
Tl  0.6573  0.1250  0.2500  2 Ru 2.73, 2 Tl 2.93
Tl  0.8750  0.9073  0.7500  2 Ru 2.73, 2 Tl 2.93

For the distance to the lowest polymorph of the same formula, the calculation gives 404 meV/atom. The formation energy is 0.353 eV per atom. The electronic total energy is -4.732 eV/atom. The density of states at the Fermi level comes out at 1.41 states/eV per atom.



2.
Density functional theory data (PBE) for a geometry-optimized Nd4Zn2Hg structure.

Unit cell a=5.1703 b=6.4297 c=6.4297 alpha=108.88 beta=90.00 gamma=90.00
Last column: nearest neighbours and their distance in Å.
Atoms (fractional coordinates):
Nd  0.0000  0.7612  0.7612  4 Zn 3.20-3.23, 2 Hg 3.24, 1 Nd 3.57
Nd  0.5000  0.0000  0.5000  4 Zn 3.19, 2 Hg 3.21
Nd  0.0000  0.2388  0.2388  4 Zn 3.20-3.23, 2 Hg 3.24, 1 Nd 3.57
Nd  0.5000  0.5000  0.0000  4 Zn 3.19, 2 Hg 3.21
Hg  0.5000  0.5000  0.5000  8 Nd 3.21-3.24
Zn  0.0000  0.2541  0.7459  8 Nd 3.19-3.23
Zn  0.0000  0.7459  0.2541  8 Nd 3.19-3.23

The formation energy is -0.216 eV per atom. The electronic total energy is -3.348 eV/atom. The density of states at the Fermi level comes out at 1.41 states/eV per atom.



3.
Density functional theory data (PBE) for a geometry-optimized LaTa2Ag structure.

Unit cell a=2.9349 b=2.9349 c=9.7957 alpha=90.00 beta=90.00 gamma=90.00
Last column: nearest neighbours and their distance in Å.
Atoms (fractional coordinates):
Ta  0.5000  0.5000  0.2546  8 Ta 2.93-3.02, 4 Ag 2.97
Ta  0.0000  0.0000  0.0311  8 Ta 2.93-3.02
Ag  0.0000  0.0000  0.4708  4 Ag 2.93, 4 Ta 2.97
La  0.5000  0.5000  0.7434  4 La 2.93

For the distance to the lowest polymorph of the same formula, the calculation gives 48 meV/atom. The formation energy is 0.306 eV per atom. The electronic total energy is -7.565 eV/atom. The density of states at the Fermi level comes out at 1.09 states/eV per atom.



4.
Density functional theory data (PBE) for a geometry-optimized Tm4TlPdRu2 structure.

Unit cell a=4.9032 b=4.9032 c=8.5606 alpha=73.36 beta=73.36 gamma=60.00
Last column: nearest neighbours and their distance in Å.
Atoms (fractional coordinates):
Pd  0.5000  0.5000  0.5000  8 Tm 2.88-2.97
Tm  0.8707  0.8707  0.3880  4 Ru 2.92-3.04, 3 Pd 2.97, 1 Tl 3.13
Tm  0.3813  0.3813  0.8562  1 Pd 2.88, 4 Ru 2.96-3.19, 3 Tl 3.06
Tm  0.6187  0.6187  0.1438  1 Pd 2.88, 4 Ru 2.96-3.19, 3 Tl 3.06
Tm  0.1293  0.1293  0.6120  4 Ru 2.92-3.04, 3 Pd 2.97, 1 Tl 3.13
Tl  0.0000  0.0000  0.0000  8 Tm 3.06-3.13
Ru  0.2497  0.2497  0.2509  8 Tm 2.92-3.19
Ru  0.7503  0.7503  0.7491  8 Tm 2.92-3.19

The formation energy is -0.500 eV per atom. The electronic total energy is -5.999 eV/atom. The density of states at the Fermi level comes out at 0.56 states/eV per atom.



5.
Density functional theory data (PBE) for a geometry-optimized NdSmAsSe structure.

Unit cell a=4.2187 b=4.2187 c=7.3570 alpha=73.34 beta=73.34 gamma=60.00
Last column: nearest neighbours and their distance in Å.
Atoms (fractional coordinates):
Sm  0.9403  0.9403  0.1790  3 As 2.93, 3 Se 3.02
Nd  0.4479  0.4479  0.6564  3 As 2.96, 3 Se 3.05
Se  0.6927  0.6927  0.9218  3 Sm 3.02, 3 Nd 3.05
As  0.1955  0.1955  0.4135  3 Sm 2.93, 3 Nd 2.96

For the raw formation energy, the calculation gives -1.73 eV per atom. The electronic total energy is -6.139 eV/atom. The density of states at the Fermi level comes out at 0.39 states/eV per atom.



6.
Density functional theory data (PBE) for a geometry-optimized Pd2Pt2Pb structure.

Unit cell a=3.7208 b=3.7208 c=7.3639 alpha=75.37 beta=75.37 gamma=90.00
Last column: nearest neighbours and their distance in Å.
Atoms (fractional coordinates):
Pb  0.0000  0.0000  0.0000  8 Pd 2.97
Pd  0.3992  0.3992  0.2015  4 Pt 2.77, 1 Pd 2.77, 4 Pb 2.97
Pd  0.6008  0.6008  0.7985  4 Pt 2.77, 1 Pd 2.77, 4 Pb 2.97
Pt  0.2500  0.7500  0.5000  4 Pt 2.63, 4 Pd 2.77
Pt  0.7500  0.2500  0.5000  4 Pt 2.63, 4 Pd 2.77

For the distance to the lowest polymorph of the same formula, the calculation gives 51 meV/atom. The formation energy is 0.063 eV per atom. The electronic total energy is -5.172 eV/atom. The density of states at the Fermi level comes out at 1.05 states/eV per atom.



7.
Density functional theory data (PBE) for a geometry-optimized ZrSb2Pt structure.

Unit cell a=3.8391 b=3.8391 c=5.9146 alpha=90.00 beta=90.00 gamma=90.00
Last column: nearest neighbours and their distance in Å.
Atoms (fractional coordinates):
Sb  0.0000  0.0000  0.9498  2 Zr 2.84-3.07, 4 Pt 2.88
Sb  0.5000  0.5000  0.2941  4 Zr 2.91, 2 Pt 2.91-3.00
Zr  0.0000  0.0000  0.4692  6 Sb 2.84-3.07
Pt  0.5000  0.5000  0.7868  6 Sb 2.88-3.00

For the raw formation energy, the calculation gives -0.51 eV per atom. The electronic total energy is -6.216 eV/atom. The density of states at the Fermi level comes out at 0.40 states/eV per atom.



8.
Density functional theory data (PBE) for a geometry-optimized La2Tb2Er7 structure.

Unit cell a=6.0450 b=8.0806 c=8.0806 alpha=91.66 beta=73.74 gamma=73.74
Last column: nearest neighbours and their distance in Å.
Atoms (fractional coordinates):
Tb  0.8124  0.4036  0.4036  7 Er 3.38-3.75, 2 Tb 3.52-3.72
Tb  0.1876  0.5964  0.5964  7 Er 3.38-3.75, 2 Tb 3.52-3.72
Er  0.1706  0.0632  0.5918  5 Er 3.21-3.59, 2 La 3.31-3.47
Er  0.0000  0.0000  0.0000  6 Er 3.27-3.46
Er  0.8294  0.4082  0.9368  5 Er 3.21-3.59, 2 La 3.31-3.47
Er  0.4190  0.2392  0.2392  3 Tb 3.38-3.69, 5 Er 3.38-3.56, 2 La 3.52
Er  0.5810  0.7608  0.7608  3 Tb 3.38-3.69, 5 Er 3.38-3.56, 2 La 3.52
Er  0.1706  0.5918  0.0632  5 Er 3.21-3.59, 2 La 3.31-3.47
Er  0.8294  0.9368  0.4082  5 Er 3.21-3.59, 2 La 3.31-3.47
La  0.5000  0.2109  0.7891  6 Er 3.31-3.52
La  0.5000  0.7891  0.2109  6 Er 3.31-3.52

For the distance to the lowest polymorph of the same formula, the calculation gives 0 meV/atom. The formation energy is 0.163 eV per atom. The electronic total energy is -4.478 eV/atom. The density of states at the Fermi level comes out at 1.53 states/eV per atom.



9.
Density functional theory data (PBE) for a geometry-optimized RbSrCa2Rh structure.

Unit cell a=5.7736 b=5.7736 c=6.0551 alpha=90.00 beta=90.00 gamma=90.00
Last column: nearest neighbours and their distance in Å.
Atoms (fractional coordinates):
Ca  0.5000  0.0000  0.0000  2 Rh 2.89
Ca  0.0000  0.5000  0.0000  2 Rh 2.89
Sr  0.0000  0.0000  0.5000  2 Rh 3.03
Rh  0.0000  0.0000  0.0000  4 Ca 2.89, 2 Sr 3.03
Rb  0.5000  0.5000  0.5000  4 Sr 4.08, 8 Ca 4.18

For the distance to the lowest polymorph of the same formula, the calculation gives 0 meV/atom. The formation energy is -0.113 eV per atom. The electronic total energy is -2.914 eV/atom. The density of states at the Fermi level comes out at 0.74 states/eV per atom.